Entry from Alexandria: an optimized crystal structure of Ce5MgZn6 (PBE).

Calculated formation energy ... -2.30 eV per formula unit

a = 8.361 Å, b = 8.361 Å, c = 5.049 Å
α = 105.11°, β = 105.11°, γ = 50.83°
Sites, in units of the cell vectors:
Ce: 0.000 0.000 0.000
Ce: 0.162 0.162 0.750
Ce: 0.309 0.309 0.230
Ce: 0.691 0.691 0.770
Ce: 0.838 0.838 0.250
Mg: 0.500 0.500 0.000
Zn: 0.120 0.565 0.753
Zn: 0.292 0.708 0.500
Zn: 0.435 0.880 0.247
Zn: 0.565 0.120 0.753
Zn: 0.708 0.292 0.500
Zn: 0.880 0.435 0.247



Entry from Alexandria: an optimized crystal structure of Pu2FeNi (PBE).

Calculated formation energy ... 0.20 eV per formula unit

a = 4.699 Å, b = 4.699 Å, c = 4.699 Å
α = 60.00°, β = 60.00°, γ = 60.00°
Sites, in units of the cell vectors:
Pu: 0.250 0.250 0.250
Pu: 0.750 0.750 0.750
Fe: 0.000 0.000 0.000
Ni: 0.500 0.500 0.500